# CeDyPt2 (PBE, relaxed)
# **D(E_F)**: 6.82 states/eV/cell
# **Calculated density**: 13.08 Mg/m³
# **Formation energy**: -1.092 eV/atom
data_CeDyPt2
_symmetry_space_group_name_H-M 'P 4/m m m'
_symmetry_Int_Tables_number 123
_symmetry_space_group_name_Hall '-P 4 2'
_cell_length_a 3.4802
_cell_length_b 3.4802
_cell_length_c 7.2604
_cell_angle_alpha 90.00
_cell_angle_beta 90.00
_cell_angle_gamma 90.00
loop_
_atom_site_label
_atom_site_type_symbol
_atom_site_fract_x
_atom_site_fract_y
_atom_site_fract_z
Ce1 Ce 0.0000 0.0000 0.0000
Dy1 Dy 0.0000 0.0000 0.5000
Pt1 Pt 0.5000 0.5000 0.2620

# CeDyPt2 (PBE, relaxed)
# **D(E_F)**: 15.31 states/eV/cell
# **Calculated density**: 11.74 Mg/m³
# **Formation energy**: -1.069 eV/atom
data_CeDyPt2
_symmetry_space_group_name_H-M 'R 3 m'
_symmetry_Int_Tables_number 160
_symmetry_space_group_name_Hall 'R 3 -2"'
_cell_length_a 4.0312
_cell_length_b 4.0312
_cell_length_c 20.8909
_cell_angle_alpha 90.00
_cell_angle_beta 90.00
_cell_angle_gamma 120.00
loop_
_atom_site_label
_atom_site_type_symbol
_atom_site_fract_x
_atom_site_fract_y
_atom_site_fract_z
Ce1 Ce 0.0000 0.0000 0.0000
Dy1 Dy 0.0000 0.0000 0.1718
Pt1 Pt 0.0000 0.0000 0.4195
Pt2 Pt 0.0000 0.0000 0.5852